Entry 1:
{"formula": "Ac3Ti5O12", "functional": "PBE-GGA", "state": "optimized geometry", "lattice_angstrom": [[11.421, 0.000, 0.000], [-3.807, 10.768, 0.000], [-3.807, -5.384, 9.325]], "species": ["Ti", "Ti", "Ti", "Ti", "Ti", "Ti", "Ti", "Ti", "Ti", "Ti", "Ti", "Ti", "Ti", "Ti", "Ti", "Ti", "Ti", "Ti", "Ti", "Ti", "O", "O", "O", "O", "O", "O", "O", "O", "O", "O", "O", "O", "O", "O", "O", "O", "O", "O", "O", "O", "O", "O", "O", "O", "O", "O", "O", "O", "O", "O", "O", "O", "O", "O", "O", "O", "O", "O", "O", "O", "O", "O", "O", "O", "O", "O", "O", "O", "Ac", "Ac", "Ac", "Ac", "Ac", "Ac", "Ac", "Ac", "Ac", "Ac", "Ac", "Ac"], "fractional_positions": [[0.375, 0.250, 0.125], [0.000, 0.000, 0.500], [0.000, 0.500, 0.000], [0.500, 0.000, 0.500], [0.250, 0.875, 0.125], [0.125, 0.375, 0.250], [0.000, 0.000, 0.000], [0.375, 0.125, 0.750], [0.750, 0.625, 0.375], [0.875, 0.625, 0.750], [0.125, 0.750, 0.375], [0.500, 0.500, 0.000], [0.000, 0.500, 0.500], [0.625, 0.875, 0.250], [0.875, 0.250, 0.625], [0.750, 0.125, 0.875], [0.500, 0.500, 0.500], [0.500, 0.000, 0.000], [0.250, 0.375, 0.625], [0.625, 0.750, 0.875], [0.803, 0.487, 0.386], [0.114, 0.417, 0.102], [0.917, 0.815, 0.803], [0.013, 0.398, 0.815], [0.513, 0.315, 0.898], [0.417, 0.114, 0.602], [0.815, 0.898, 0.013], [0.398, 0.386, 0.583], [0.917, 0.102, 0.614], [0.185, 0.083, 0.697], [0.303, 0.417, 0.815], [0.315, 0.803, 0.417], [0.987, 0.386, 0.303], [0.083, 0.185, 0.197], [0.602, 0.614, 0.417], [0.987, 0.602, 0.185], [0.487, 0.803, 0.886], [0.487, 0.685, 0.102], [0.185, 0.102, 0.987], [0.697, 0.114, 0.013], [0.197, 0.513, 0.614], [0.685, 0.197, 0.583], [0.815, 0.917, 0.303], [0.898, 0.083, 0.886], [0.102, 0.185, 0.487], [0.898, 0.815, 0.513], [0.614, 0.013, 0.197], [0.102, 0.917, 0.114], [0.417, 0.303, 0.315], [0.386, 0.987, 0.803], [0.685, 0.487, 0.602], [0.398, 0.013, 0.315], [0.013, 0.614, 0.697], [0.513, 0.197, 0.114], [0.315, 0.513, 0.398], [0.583, 0.697, 0.685], [0.602, 0.987, 0.685], [0.697, 0.583, 0.185], [0.886, 0.583, 0.898], [0.386, 0.398, 0.083], [0.614, 0.602, 0.917], [0.886, 0.303, 0.487], [0.197, 0.685, 0.083], [0.114, 0.697, 0.513], [0.303, 0.886, 0.987], [0.583, 0.886, 0.398], [0.803, 0.315, 0.917], [0.083, 0.898, 0.386], [0.750, 0.375, 0.125], [0.625, 0.250, 0.375], [0.375, 0.750, 0.625], [0.625, 0.375, 0.750], [0.375, 0.625, 0.250], [0.250, 0.625, 0.875], [0.250, 0.125, 0.375], [0.875, 0.750, 0.125], [0.125, 0.250, 0.875], [0.750, 0.875, 0.625], [0.875, 0.125, 0.250], [0.125, 0.875, 0.750]], "energy_ev_per_cell": -687.52, "e_form_raw_ev_per_atom": -3.029, "volume_a3_per_atom": 14.336, "density_g_cm3": 6.44, "dos_ef_per_ev_cell": 35.7, "spacegroup": "Ia-3d", "magmom_total_mub_per_cell": 16.74}

=====

Entry 2:
{"formula": "SrCeBi", "functional": "PBE-GGA", "state": "optimized geometry", "lattice_angstrom": [[6.261, 0.000, 0.000], [-3.130, 3.130, 0.000], [0.000, 0.000, 10.440]], "species": ["Bi", "Bi", "Sr", "Sr", "Ce", "Ce"], "fractional_positions": [[0.694, 0.388, 0.000], [0.195, 0.389, 0.500], [0.194, 0.389, 0.840], [0.194, 0.389, 0.160], [0.695, 0.389, 0.623], [0.695, 0.389, 0.377]], "energy_ev_per_cell": -25.72, "formation_energy_ev_per_fu": -1.4, "volume_a3_per_atom": 34.093, "density_g_cm3": 7.09, "dos_ef_per_ev_cell": 11.7, "spacegroup": "P4/mmm", "magmom_total_mub_per_cell": 2.19}

=====

Entry 3:
{"formula": "Nd2SmDySc", "functional": "PBE-GGA", "state": "optimized geometry", "lattice_angstrom": [[7.195, 0.000, 0.000], [0.000, 8.265, 0.000], [0.000, -4.132, 5.726]], "species": ["Nd", "Nd", "Nd", "Nd", "Sc", "Sc", "Dy", "Dy", "Sm", "Sm"], "fractional_positions": [[0.000, 0.301, 0.000], [0.500, 0.699, 0.000], [0.500, 0.301, 0.000], [0.000, 0.699, 0.000], [0.750, 0.012, 0.023], [0.250, 0.988, 0.977], [0.250, 0.257, 0.515], [0.750, 0.743, 0.485], [0.750, 0.272, 0.545], [0.250, 0.728, 0.455]], "energy_ev_per_cell": -46.83, "formation_energy_ev_per_fu": 1.8, "volume_a3_per_atom": 34.050, "density_g_cm3": 6.30, "dos_ef_per_ev_cell": 13.4, "spacegroup": "Cmcm", "magmom_total_mub_per_cell": 0.00}